## i
LiTiZn3 | PBE | optimized geometry

POSCAR file:
```
LiTiZn3
1.0
4.6265 -0.3907 -0.7364
0.0000 4.6139 -2.4478
-1.2067 0.7857 7.0534
Li Zn Ti
2 6 2
Cartesian
1.2872 2.5479 -0.7697 Li
2.1326 2.4610 4.6390 Li
2.3132 -0.1953 -0.3682 Zn
3.8097 3.9736 -0.6999 Zn
-0.3898 1.0354 4.5692 Zn
0.0000 0.0000 0.0000 Zn
-0.3898 3.2027 3.4194 Zn
3.8097 1.8063 0.4499 Zn
1.6460 1.1699 2.2053 Ti
1.7738 3.8390 1.6640 Ti
```

Properties
**Theoretical density**: 5.4 g cm⁻³
**Crystal system**: monoclinic
**Volume**: 15.42 Å³ per atom

=====

## ii
LiTiZn3 | PBE | optimized geometry

POSCAR file:
```
LiTiZn3
1.0
-3.7912 0.9424 1.6374
-1.8885 -1.7883 -3.3433
-0.0525 -3.7224 2.0208
Ti Zn Li
1 3 1
Cartesian
-2.8661 -2.2842 0.1574 Ti
-0.0263 -1.8612 1.0104 Zn
-1.8956 0.4712 0.8187 Zn
-0.9443 -0.8942 -1.6717 Zn
0.0000 0.0000 0.0000 Li
```

Properties
**Theoretical density**: 5.5 g cm⁻³
**Crystal system**: cubic
**Volume**: 15.20 Å³ per atom

=====

Most stable: i (next structure +0.358 eV/atom)